Computed, not measured: an optimized crystal structure of CuAg2Au at the PBEsol level of DFT.

- Theoretical density: 12.78 g/cm3
- Total DFT energy (no corrections): -14.83 eV/f.u.
- Energy of formation from the pure elements: 1.3 kJ per mole of atoms

Lattice parameters (Å, degrees): 3.925 3.925 4.883 113.69 113.69 90.00
Fractional coordinates of all 4 atoms:
Au: 0.500 0.500 0.000
Cu: 0.000 0.000 0.000
Ag: 0.750 0.250 0.500
Ag: 0.250 0.750 0.500

Computed, not measured: an optimized crystal structure of Cu2AgAu at the PBEsol level of DFT.

- Theoretical density: 12.77 g/cm3
- Total DFT energy (no corrections): -15.85 eV/f.u.
- Energy of formation from the pure elements: 1.3 kJ per mole of atoms

Lattice parameters (Å, degrees): 2.767 4.535 4.922 107.82 106.32 90.00
Fractional coordinates of all 4 atoms:
Au: 0.263 0.795 0.526
Cu: 0.015 0.974 0.031
Cu: 0.734 0.276 0.468
Ag: 0.488 0.455 0.975

Computed, not measured: an optimized crystal structure of CuAg2Au at the PBEsol level of DFT.

- Theoretical density: 12.73 g/cm3
- Total DFT energy (no corrections): -14.69 eV/f.u.
- Energy of formation from the pure elements: 4.7 kJ per mole of atoms

Lattice parameters (Å, degrees): 2.824 2.824 9.144 81.12 81.12 60.00
Fractional coordinates of all 4 atoms:
Au: 0.500 0.500 0.500
Cu: 0.000 0.000 0.000
Ag: 0.256 0.256 0.233
Ag: 0.744 0.744 0.767

Computed, not measured: an optimized crystal structure of CuAgAu2 at the PBEsol level of DFT.

- Theoretical density: 15.11 g/cm3
- Total DFT energy (no corrections): -15.58 eV/f.u.
- Energy of formation from the pure elements: -2.0 kJ per mole of atoms

Lattice parameters (Å, degrees): 3.955 3.955 4.859 114.02 114.02 90.00
Fractional coordinates of all 4 atoms:
Au: 0.750 0.250 0.500
Au: 0.250 0.750 0.500
Cu: 0.500 0.500 0.000
Ag: 0.000 0.000 0.000

Computed, not measured: an optimized crystal structure of CuAgAu2 at the PBEsol level of DFT.

- Theoretical density: 15.06 g/cm3
- Total DFT energy (no corrections): -15.55 eV/f.u.
- Energy of formation from the pure elements: -1.4 kJ per mole of atoms

Lattice parameters (Å, degrees): 3.951 3.951 4.874 113.91 113.91 90.00
Fractional coordinates of all 4 atoms:
Au: 0.000 0.000 0.000
Au: 0.750 0.250 0.500
Cu: 0.500 0.500 0.000
Ag: 0.250 0.750 0.500

Computed, not measured: an optimized crystal structure of CuAgAu2 at the PBEsol level of DFT.

- Theoretical density: 15.09 g/cm3
- Total DFT energy (no corrections): -15.58 eV/f.u.
- Energy of formation from the pure elements: -2.2 kJ per mole of atoms

Lattice parameters (Å, degrees): 3.959 3.964 3.964 90.00 90.00 90.00
Fractional coordinates of all 4 atoms:
Au: 0.000 0.000 0.500
Au: 0.000 0.500 0.000
Cu: 0.500 0.500 0.500
Ag: 0.500 0.000 0.000

- theoretical density of number 3 (CuAg2Au)?
  12.73 g/cm3